1.
CsCuS2 PBE relaxed; space-group type = Pmmm (47); raw formation energy = -0.53 eV/atom
1.0
3.540 0.000 0.000
0.000 5.205 0.180
0.000 -0.221 6.380
Cs S Cu
1 2 1
direct
0.500 0.000 0.500 Cs
0.000 0.500 0.783 S
0.000 0.500 0.217 S
0.500 0.500 0.000 Cu

2.
Pm8Te4P3Pb PBE relaxed; space-group type = R-3m (166); raw formation energy = -1.41 eV/atom
1.0
8.631 0.000 0.000
0.000 8.809 0.120
-4.316 -4.312 6.106
Te P Pm Pb
4 3 8 1
direct
0.500 0.000 0.000 Te
0.500 0.000 0.500 Te
0.000 0.000 0.000 Te
0.000 0.000 0.500 Te
0.500 0.500 0.500 P
0.000 0.500 0.500 P
0.500 0.500 0.000 P
0.752 0.277 0.025 Pm
0.752 0.277 0.504 Pm
0.263 0.288 0.525 Pm
0.274 0.277 0.025 Pm
0.726 0.723 0.975 Pm
0.248 0.723 0.496 Pm
0.737 0.712 0.475 Pm
0.248 0.723 0.975 Pm
0.000 0.500 0.000 Pb

3.
LiLaPt2 PBE relaxed; DFT formation energy = -0.818 eV/atom; space-group type = Cmmm (65)
1.0
-2.616 -1.328 -3.507
1.504 -4.100 1.354
-2.989 -0.318 2.352
Li Pt La
1 2 1
direct
0.000 0.500 0.500 Li
0.000 0.000 0.000 Pt
0.500 0.500 0.000 Pt
0.500 0.000 0.500 La

Number 1: electronic total energy -3.833 eV per atom. Number 2: electronic total energy -5.821 eV per atom. Number 3: electronic total energy -5.549 eV per atom.